# Sc3Sn2Au PBE relaxed
# DFT formation energy = -60 kJ per mole of atoms
# raw total energy = -5.67 eV/atom
# DOS at the Fermi energy = 19.38 states/eV/cell
data_Sc3Sn2Au
_symmetry_space_group_name_H-M 'P 1'
_symmetry_Int_Tables_number 1
_cell_length_a 11.665
_cell_length_b 4.438
_cell_length_c 10.611
_cell_angle_alpha 90.00
_cell_angle_beta 90.00
_cell_angle_gamma 90.00
loop_
_symmetry_equiv_pos_as_xyz
'x,y,z'
loop_
_atom_site_label
_atom_site_fract_x
_atom_site_fract_y
_atom_site_fract_z
Sc1 0.040 0.250 0.124
Sc2 0.142 0.750 0.578
Sc3 0.222 0.250 0.815
Sc4 0.278 0.750 0.315
Sc5 0.358 0.250 0.078
Sc6 0.460 0.750 0.624
Sc7 0.540 0.250 0.376
Sc8 0.642 0.750 0.922
Sc9 0.722 0.250 0.685
Sc10 0.778 0.750 0.185
Sc11 0.858 0.250 0.422
Sc12 0.960 0.750 0.876
Sn1 0.003 0.250 0.686
Sn2 0.180 0.750 0.030
Sn3 0.320 0.250 0.530
Sn4 0.497 0.750 0.186
Sn5 0.503 0.250 0.814
Sn6 0.680 0.750 0.470
Sn7 0.820 0.250 0.970
Sn8 0.997 0.750 0.314
Au1 0.131 0.250 0.373
Au2 0.369 0.750 0.873
Au3 0.631 0.250 0.127
Au4 0.869 0.750 0.627